The following is a PBE-GGA calculation of a relaxed structure of PmNdDy2H, from Alexandria.

The value obtained for the calculated volume is 130 Å³ per cell. The total magnetization is 0.0 μB/cell.

The structure belongs to space group P4/mmm (No. 123); the cell edges are 5.0613, 5.0613 and 5.0757 Å and the angles 90.00°, 90.00° and 90.00°. Symmetry generates all atoms from Pm at (0.0000, 0.0000, 0.0000), Nd at (0.5000, 0.5000, 0.0000), Dy at (0.0000, 0.5000, 0.5000) and H at (0.0000, 0.0000, 0.5000).

---

The following is a PBE-GGA calculation of a relaxed structure of PmNd2DyH, from Alexandria.

The value obtained for the calculated volume is 134 Å³ per cell. The total magnetization is 0.0 μB/cell.

The structure belongs to space group P4/mmm (No. 123); the cell edges are 5.1404, 5.1404 and 5.0796 Å and the angles 90.00°, 90.00° and 90.00°. Symmetry generates all atoms from Pm at (0.0000, 0.0000, 0.0000), Nd at (0.0000, 0.5000, 0.5000), Dy at (0.5000, 0.5000, 0.0000) and H at (0.5000, 0.5000, 0.5000).

---

The following is a PBE-GGA calculation of a relaxed structure of Pr2NdDyH, from Alexandria.

The value obtained for the calculated volume is 137 Å³ per cell. The total magnetization is 0.0 μB/cell.

The structure belongs to space group P4/mmm (No. 123); the cell edges are 5.1844, 5.1844 and 5.1008 Å and the angles 90.00°, 90.00° and 90.00°. Symmetry generates all atoms from Pr at (0.0000, 0.5000, 0.0000), Nd at (0.0000, 0.0000, 0.5000), Dy at (0.5000, 0.5000, 0.5000) and H at (0.5000, 0.5000, 0.0000).

---

The following is a PBE-GGA calculation of a relaxed structure of NdSm2DyH, from Alexandria.

The value obtained for the calculated volume is 132 Å³ per cell. The total magnetization is 0.0 μB/cell.

The structure belongs to space group P4/mmm (No. 123); the cell edges are 5.0948, 5.0948 and 5.0760 Å and the angles 90.00°, 90.00° and 90.00°. Symmetry generates all atoms from Nd at (0.0000, 0.0000, 0.0000), Sm at (0.0000, 0.5000, 0.5000), Dy at (0.5000, 0.5000, 0.0000) and H at (0.5000, 0.5000, 0.5000).

---

The following is a PBE-GGA calculation of a relaxed structure of DyNiH3, from Alexandria.

The value obtained for the calculated volume is 44 Å³ per cell. The total magnetization is 0.0 μB/cell.

The structure belongs to space group Pm-3m (No. 221); the cell edges are 3.5203, 3.5203 and 3.5203 Å and the angles 90.00°, 90.00° and 90.00°. Symmetry generates all atoms from Dy at (0.0000, 0.0000, 0.0000), Ni at (0.5000, 0.5000, 0.5000) and H at (0.0000, 0.5000, 0.5000).

---

The following is a PBE-GGA calculation of a relaxed structure of DyNi3H3, from Alexandria.

The value obtained for the calculated volume is 623 Å³ per cell. The total magnetization is 0.0 μB/cell.

The structure belongs to space group Fm-3m (No. 225); the cell edges are 8.5417, 8.5417 and 8.5417 Å and the angles 90.00°, 90.00° and 90.00°. Symmetry generates all atoms from Dy at (0.2500, 0.2500, 0.2500), Ni at (0.0000, 0.0000, 0.1963) and H at (0.0000, 0.0000, 0.3678).

---

The following is a PBE-GGA calculation of a relaxed structure of Dy3Ni5H12, from Alexandria.

The value obtained for the calculated volume is 1418 Å³ per cell. The total magnetization is 0.0 μB/cell.

The structure belongs to space group Ia-3d (No. 230); the cell edges are 11.2354, 11.2354 and 11.2354 Å and the angles 90.00°, 90.00° and 90.00°. Symmetry generates all atoms from Dy at (0.0000, 0.2500, 0.1250), Ni at (0.0000, 0.0000, 0.0000), Ni at (0.0000, 0.2500, 0.3750) and H at (0.0361, 0.0467, 0.6418).

---

The following is a PBE-GGA calculation of a relaxed structure of DyNi3H6, from Alexandria.

The value obtained for the calculated volume is 229 Å³ per cell. The total magnetization is 0.0 μB/cell.

The structure belongs to space group R3 (No. 146, hexagonal axes); the cell edges are 4.5811, 4.5811 and 12.6099 Å and the angles 90.00°, 90.00° and 120.00°. Symmetry generates all atoms from Dy at (0.0000, 0.0000, 0.0000), Ni at (0.0000, 0.0000, 0.2250), Ni at (0.0000, 0.0000, 0.5581), Ni at (0.0000, 0.0000, 0.7705), H at (0.0005, 0.3246, 0.1547) and H at (0.1566, 0.8222, 0.3121).

---

The following is a PBE-GGA calculation of a relaxed structure of DyNiH3, from Alexandria.

The value obtained for the calculated volume is 93 Å³ per cell. The total magnetization is 0.0 μB/cell.

The structure belongs to space group P2_1/m (No. 11); the cell edges are 3.5249, 5.1797 and 5.0958 Å and the angles 90.00°, 90.04° and 90.00°. Symmetry generates all atoms from Dy at (0.0018, 0.2500, 0.2461), Ni at (0.5004, 0.2500, 0.7170), H at (0.0005, 0.2500, 0.7403), H at (0.4985, 0.7500, 0.9695) and H at (0.5000, 0.0000, 0.5000).

---

The following is a PBE-GGA calculation of a relaxed structure of DyNi6H8, from Alexandria.

The value obtained for the calculated volume is 346 Å³ per cell. The total magnetization is 0.0 μB/cell.

The structure belongs to space group R-3 (No. 148, hexagonal axes); the cell edges are 7.3771, 7.3771 and 7.3518 Å and the angles 90.00°, 90.00° and 120.00°. Symmetry generates all atoms from Dy at (0.0000, 0.0000, 0.0000), Ni at (0.0258, 0.2350, 0.6403), H at (0.0000, 0.0000, 0.3089) and H at (0.0071, 0.4049, 0.7732).

---

The following is a PBE-GGA calculation of a relaxed structure of Dy2NiH8, from Alexandria.

The value obtained for the calculated volume is 187 Å³ per cell. The total magnetization is 0.0 μB/cell.

The structure belongs to space group Immm (No. 71); the cell edges are 3.6895, 4.2018 and 12.0868 Å and the angles 90.00°, 90.00° and 90.00°. Symmetry generates all atoms from Dy at (0.0000, 0.0000, 0.1464), Ni at (0.0000, 0.0000, 0.5000), H at (0.0000, 0.2358, 0.3974), H at (0.0000, 0.2642, 0.0000) and H at (0.0000, 0.5000, 0.2339).

---

The following is a PBE-GGA calculation of a relaxed structure of DyNi2H7, from Alexandria.

The value obtained for the calculated volume is 143 Å³ per cell. The total magnetization is 0.0 μB/cell.

The structure belongs to space group Cmmm (No. 65); the cell edges are 4.8451, 8.4720 and 3.4844 Å and the angles 90.00°, 90.00° and 90.00°. Symmetry generates all atoms from Dy at (0.0000, 0.0000, 0.0000), Ni at (0.0000, 0.3098, 0.5000), H at (0.0000, 0.3172, 0.0000), H at (0.0000, 0.5000, 0.5000) and H at (0.1793, 0.1392, 0.5000).

---

The following is a PBE-GGA calculation of a relaxed structure of Dy4Ni2H, from Alexandria.

The value obtained for the calculated volume is 293 Å³ per cell. The total magnetization is 0.0 μB/cell.

The structure belongs to space group I4/mmm (No. 139); the cell edges are 4.6721, 4.6721 and 13.4358 Å and the angles 90.00°, 90.00° and 90.00°. Symmetry generates all atoms from Dy at (0.0000, 0.0000, 0.1941), Dy at (0.0000, 0.5000, 0.0000), Ni at (0.0000, 0.0000, 0.3858) and H at (0.0000, 0.0000, 0.0000).

---

The following is a PBE-GGA calculation of a relaxed structure of DyNiH2, from Alexandria.

The value obtained for the calculated volume is 147 Å³ per cell. The total magnetization is 0.0 μB/cell.

The structure belongs to space group R-3m (No. 166, hexagonal axes); the cell edges are 3.8725, 3.8725 and 11.3067 Å and the angles 90.00°, 90.00° and 120.00°. Symmetry generates all atoms from Dy at (0.0000, 0.0000, 0.0000), Ni at (0.0000, 0.0000, 0.5000) and H at (0.0000, 0.0000, 0.3633).

---

The following is a PBE-GGA calculation of a relaxed structure of DyNiH3, from Alexandria.

The value obtained for the calculated volume is 188 Å³ per cell. The total magnetization is 0.0 μB/cell.

The structure belongs to space group Cm (No. 8); the cell edges are 11.2614, 3.6114 and 4.6230 Å and the angles 90.00°, 92.42° and 90.00°. Symmetry generates all atoms from Dy at (0.0000, 0.0000, 0.0000), Dy at (0.2342, 0.5000, 0.4952), Ni at (0.2915, 0.0000, 0.0365), Ni at (0.4539, 0.0000, 0.4864), H at (0.0564, 0.5000, 0.2441), H at (0.0612, 0.5000, 0.7408), H at (0.1765, 0.0000, 0.2446), H at (0.2902, 0.5000, 0.0149), H at (0.3448, 0.0000, 0.7127) and H at (0.4450, 0.5000, 0.4844).

---

The following is a PBE-GGA calculation of a relaxed structure of DyNi3H, from Alexandria.

The value obtained for the calculated volume is 59 Å³ per cell. The total magnetization is 0.0 μB/cell.

The structure belongs to space group Pm-3m (No. 221); the cell edges are 3.8837, 3.8837 and 3.8837 Å and the angles 90.00°, 90.00° and 90.00°. Symmetry generates all atoms from Dy at (0.0000, 0.0000, 0.0000), Ni at (0.0000, 0.5000, 0.5000) and H at (0.5000, 0.5000, 0.5000).

---

The following is a PBE-GGA calculation of a relaxed structure of DyNi2H8, from Alexandria.

The value obtained for the calculated volume is 170 Å³ per cell. The total magnetization is 0.0 μB/cell.

The structure belongs to space group C2/m (No. 12); the cell edges are 7.8024, 6.9914 and 3.4757 Å and the angles 90.00°, 116.33° and 90.00°. Symmetry generates all atoms from Dy at (0.0000, 0.0000, 0.0000), Ni at (0.0000, 0.3221, 0.5000), H at (0.0000, 0.3231, 0.0000), H at (0.1532, 0.1629, 0.6536) and H at (0.1528, 0.5000, 0.6561).

---

The following is a PBE-GGA calculation of a relaxed structure of PrDyNi2H8, from Alexandria.

The value obtained for the calculated volume is 334 Å³ per cell. The total magnetization is 0.0 μB/cell.

The structure belongs to space group R-3m (No. 166, hexagonal axes); the cell edges are 4.4704, 4.4704 and 19.2921 Å and the angles 90.00°, 90.00° and 120.00°. Symmetry generates all atoms from Pr at (0.0000, 0.0000, 0.0000), Dy at (0.0000, 0.0000, 0.5000), Ni at (0.0000, 0.0000, 0.2543), H at (0.0000, 0.0000, 0.3373) and H at (0.0355, 0.5177, 0.5552).

---

The following is a PBE-GGA calculation of a relaxed structure of Dy2NiHRh6, from Alexandria.

The value obtained for the calculated volume is 470 Å³ per cell. The total magnetization is 0.0 μB/cell.

The structure belongs to space group R-3m (No. 166, hexagonal axes); the cell edges are 5.5265, 5.5265 and 17.7759 Å and the angles 90.00°, 90.00° and 120.00°. Symmetry generates all atoms from Dy at (0.0000, 0.0000, 0.2148), Ni at (0.0000, 0.0000, 0.5000), H at (0.0000, 0.0000, 0.0000) and Rh at (0.0094, 0.5047, 0.2736).

---

The following is a PBE-GGA calculation of a relaxed structure of Dy2NpH, from Alexandria.

The value obtained for the calculated volume is 271 Å³ per cell. The total magnetization is 13.4 μB/cell.

The structure belongs to space group R-3m (No. 166, hexagonal axes); the cell edges are 3.3489, 3.3489 and 27.9351 Å and the angles 90.00°, 90.00° and 120.00°. Symmetry generates all atoms from Dy at (0.0000, 0.0000, 0.1174), Np at (0.0000, 0.0000, 0.0000) and H at (0.0000, 0.0000, 0.5000).

---

The calculation returns the following calculated total energy values, one per record and in order: -4.59 -4.62 -4.63 -4.61 -4.56 -4.39 -4.43 -4.49 -4.49 -4.56 -4.11 -4.14 -5.03 -4.68 -4.59 -5.31 -4.05 -4.29 -6.61 -6.10 eV per atom.